# 1
Li2MnMoS: optimized geometry, PBE.

Cell and atoms, written as extended XYZ:
```
5
Lattice="4.968 0.000 0.000 0.000 4.968 0.000 0.000 0.000 4.168" Properties=species:S:1:pos:R:3 pbc="T T T"
Li 0.000 2.484 0.000
Li 2.484 0.000 0.000
Mn 0.000 0.000 2.084
Mo 0.000 0.000 0.000
S 2.484 2.484 2.084
```

Properties
Fermi-level density of states in states/eV per cell: 5.0
Calculated total energy in eV/cell: -21.34
Raw formation energy in eV per atom: 1.32

***

# 2
LiMn2SiMo: optimized geometry, PBE.

Cell and atoms, written as extended XYZ:
```
5
Lattice="4.501 0.000 0.000 0.000 4.501 0.000 0.000 0.000 4.663" Properties=species:S:1:pos:R:3 pbc="T T T"
Li 0.000 0.000 0.000
Mn 0.000 2.251 2.332
Mn 2.251 0.000 2.332
Si 2.251 2.251 0.000
Mo 0.000 0.000 2.332
```

Properties
Fermi-level density of states in states/eV per cell: 5.5
Calculated total energy in eV/cell: -29.65
Raw formation energy in eV per atom: 1.37

***

# 3
SrLiMnMo2: optimized geometry, PBE.

Cell and atoms, written as extended XYZ:
```
5
Lattice="4.505 0.000 0.000 0.000 4.505 0.000 0.000 0.000 5.177" Properties=species:S:1:pos:R:3 pbc="T T T"
Sr 0.000 0.000 0.000
Li 2.252 2.252 0.000
Mn 2.252 2.252 2.589
Mo 0.000 2.252 2.589
Mo 2.252 0.000 2.589
```

Properties
Fermi-level density of states in states/eV per cell: 6.3
DFT formation energy in eV per formula unit: 4.17
Calculated total energy in eV/cell: -30.26

***

# 4
Li9Mn3N4: optimized geometry, PBE.

Cell and atoms, written as extended XYZ:
```
16
Lattice="5.008 -1.860 0.000 5.008 1.860 0.000 -1.760 0.000 9.861" Properties=species:S:1:pos:R:3 pbc="T T T"
Li 0.000 0.000 0.000
Li -0.170 0.000 2.902
Li 1.290 0.000 4.487
Li 2.565 0.000 0.561
Li 4.211 0.000 1.979
Li 4.046 0.000 7.882
Li 5.692 0.000 9.301
Li 6.967 0.000 5.375
Li 8.427 0.000 6.959
Mn 1.141 0.000 7.337
Mn 4.128 0.000 4.931
Mn 7.116 0.000 2.524
N -0.248 0.000 8.619
N 2.670 0.000 6.171
N 5.587 0.000 3.690
N 8.505 0.000 1.243
```

Properties
Fermi-level density of states in states/eV per cell: 6.1
Calculated total energy in eV/cell: -82.90
Raw formation energy in eV per atom: -0.30

***

# 5
Li6Mn2N3: optimized geometry, PBE.

Cell and atoms, written as extended XYZ:
```
11
Lattice="3.744 0.000 0.000 0.000 5.573 3.205 0.000 -5.573 3.205" Properties=species:S:1:pos:R:3 pbc="T T T"
Li 0.000 0.000 0.000
Li 0.000 -1.837 1.367
Li 0.000 1.837 1.367
Li 0.000 -1.359 3.670
Li 0.000 1.359 3.670
Li 1.872 0.000 2.142
Mn 1.872 -3.526 2.505
Mn 1.872 3.526 2.505
N 0.000 -3.574 2.499
N 0.000 0.000 2.164
N 0.000 3.574 2.499
```

Properties
Fermi-level density of states in states/eV per cell: 3.7
Calculated total energy in eV/cell: -57.99
Raw formation energy in eV per atom: -0.29

***

# 6
Li6MnN4: optimized geometry, PBE.

Cell and atoms, written as extended XYZ:
```
22
Lattice="6.466 0.000 0.000 0.000 6.466 0.000 0.000 0.000 4.905" Properties=species:S:1:pos:R:3 pbc="T T T"
Li 0.225 3.458 1.226
Li 0.225 6.240 1.226
Li 1.616 1.616 0.700
Li 1.616 1.616 3.152
Li 3.008 3.458 1.226
Li 3.008 6.240 1.226
Li 3.458 0.225 3.679
Li 3.458 3.008 3.679
Li 4.849 4.849 1.753
Li 4.849 4.849 4.205
Li 6.240 0.225 3.679
Li 6.240 3.008 3.679
Mn 1.616 4.849 3.679
Mn 4.849 1.616 1.226
N 0.106 4.849 2.763
N 1.616 3.339 4.594
N 1.616 6.359 4.594
N 3.126 4.849 2.763
N 3.339 1.616 2.142
N 4.849 0.106 0.311
N 4.849 3.126 0.311
N 6.359 1.616 2.142
```

Properties
Fermi-level density of states in states/eV per cell: 8.6
Calculated total energy in eV/cell: -119.85
Raw formation energy in eV per atom: -0.54

***

# 7
LiMn2N3: optimized geometry, PBE.

Cell and atoms, written as extended XYZ:
```
12
Lattice="4.712 -2.734 0.000 4.712 2.734 0.000 0.000 0.000 4.983" Properties=species:S:1:pos:R:3 pbc="T T T"
Li 4.712 1.810 2.491
Li 4.712 -1.810 0.000
Mn 3.118 0.901 4.929
Mn 3.118 -0.901 2.438
Mn 6.306 0.901 4.929
Mn 6.306 -0.901 2.438
N 2.931 0.793 3.107
N 4.712 1.552 0.306
N 2.931 -0.793 0.616
N 6.493 0.793 3.107
N 4.712 -1.552 2.797
N 6.493 -0.793 0.616
```

Properties
Fermi-level density of states in states/eV per cell: 7.0
Calculated total energy in eV/cell: -94.14
Raw formation energy in eV per atom: -0.31
E above lowest polymorph in meV per atom: 0.0

***

# 8
Li3Mn5N12: optimized geometry, PBE.

Cell and atoms, written as extended XYZ:
```
80
Lattice="-5.950 5.950 5.950 5.950 -5.950 5.950 5.950 5.950 -5.950" Properties=species:S:1:pos:R:3 pbc="T T T"
Li 2.975 1.487 0.000
Li 5.950 2.975 -1.487
Li 1.487 0.000 2.975
Li 7.437 0.000 2.975
Li 0.000 2.975 1.487
Li 2.975 -1.487 5.950
Li 2.975 7.437 0.000
Li 5.950 2.975 4.462
Li -1.487 5.950 2.975
Li 4.462 5.950 2.975
Li 0.000 2.975 7.437
Li 2.975 4.462 5.950
Mn 0.000 0.000 0.000
Mn 2.975 2.975 -2.975
Mn 2.975 -2.975 2.975
Mn 5.950 0.000 0.000
Mn 8.924 1.487 0.000
Mn 5.950 -2.975 4.462
Mn 4.462 5.950 -2.975
Mn 4.462 0.000 2.975
Mn 2.975 4.462 0.000
Mn 5.950 2.975 1.487
Mn -2.975 2.975 2.975
Mn 0.000 5.950 0.000
Mn 0.000 0.000 5.950
Mn 2.975 2.975 2.975
Mn 0.000 2.975 4.462
Mn 2.975 1.487 5.950
Mn 1.487 5.950 2.975
Mn 1.487 0.000 8.924
Mn 0.000 8.924 1.487
Mn -2.975 4.462 5.950
N 1.745 -0.483 0.605
N 7.179 3.580 -3.458
N 7.695 0.483 0.605
N 7.179 -2.370 3.458
N 5.466 -0.605 1.745
N 9.408 -1.230 2.370
N 0.605 1.745 -0.483
N 8.320 2.491 -1.230
N 3.580 3.458 -1.230
N 5.345 1.745 0.483
N -0.483 0.605 1.745
N 3.458 -1.230 3.580
N 5.466 5.345 -1.745
N 3.458 1.230 2.370
N 3.580 -3.458 7.179
N 5.345 -1.745 5.466
N 2.370 3.458 1.230
N 6.554 4.205 0.483
N 3.458 7.179 -2.370
N 5.466 0.605 4.205
N 1.745 5.466 -0.605
N 7.179 2.370 2.491
N 1.230 2.370 3.458
N 1.745 0.483 5.345
N 4.205 5.466 0.605
N 4.720 3.580 2.491
N -1.230 3.580 3.458
N 4.205 0.483 6.554
N 0.483 5.345 1.745
N 2.491 -1.230 8.320
N -0.605 1.745 5.466
N 3.580 2.491 4.720
N 0.605 7.695 0.483
N 2.370 9.408 -1.230
N 2.491 4.720 3.580
N 0.483 0.605 7.695
N 2.491 7.179 2.370
N 6.433 5.345 4.205
N 0.605 4.205 5.466
N 2.370 2.491 7.179
N -2.370 3.458 7.179
N 5.345 4.205 6.433
N -3.458 7.179 3.580
N 0.483 6.554 4.205
N -1.230 8.320 2.491
N -1.745 5.466 5.345
N -1.230 2.370 9.408
N 4.205 6.433 5.345
```

Properties
Fermi-level density of states in states/eV per cell: 39.1
Calculated total energy in eV/cell: -580.48
Raw formation energy in eV per atom: 0.32

***

# 9
Li5Mn3N12: optimized geometry, PBE.

Cell and atoms, written as extended XYZ:
```
80
Lattice="-6.084 6.084 6.084 6.084 -6.084 6.084 6.084 6.084 -6.084" Properties=species:S:1:pos:R:3 pbc="T T T"
Li 0.000 0.000 0.000
Li 3.042 3.042 -3.042
Li 3.042 -3.042 3.042
Li 6.084 0.000 0.000
Li 9.126 1.521 0.000
Li 6.084 -3.042 4.563
Li 4.563 6.084 -3.042
Li 4.563 0.000 3.042
Li 3.042 4.563 0.000
Li 6.084 3.042 1.521
Li -3.042 3.042 3.042
Li 0.000 6.084 0.000
Li 0.000 0.000 6.084
Li 3.042 3.042 3.042
Li 0.000 3.042 4.563
Li 3.042 1.521 6.084
Li 1.521 6.084 3.042
Li 1.521 0.000 9.126
Li 0.000 9.126 1.521
Li -3.042 4.563 6.084
Mn 3.042 1.521 0.000
Mn 6.084 3.042 -1.521
Mn 1.521 0.000 3.042
Mn 7.605 0.000 3.042
Mn 0.000 3.042 1.521
Mn 3.042 -1.521 6.084
Mn 3.042 7.605 0.000
Mn 6.084 3.042 4.563
Mn -1.521 6.084 3.042
Mn 4.563 6.084 3.042
Mn 0.000 3.042 7.605
Mn 3.042 4.563 6.084
N 5.965 -1.253 2.336
N 9.246 -0.707 1.789
N 2.336 -0.119 1.253
N 6.791 4.295 -3.161
N 8.420 0.119 1.253
N 6.791 -1.789 3.161
N 1.253 2.336 -0.119
N 7.874 2.923 -0.707
N 4.295 3.161 -0.707
N 4.832 2.336 0.119
N 5.965 4.832 -2.336
N 3.161 0.707 1.789
N -0.119 1.253 2.336
N 3.161 -0.707 4.295
N 4.832 -2.336 5.965
N 4.295 -3.161 6.791
N 1.789 3.161 0.707
N 7.337 3.749 0.119
N 2.336 5.965 -1.253
N 6.791 1.789 2.923
N 0.707 1.789 3.161
N 2.336 0.119 4.832
N 3.161 6.791 -1.789
N 5.965 1.253 3.749
N 0.119 4.832 2.336
N 2.923 -0.707 7.874
N 3.749 5.965 1.253
N 5.378 4.295 2.923
N -0.707 4.295 3.161
N 3.749 0.119 7.337
N -1.253 2.336 5.965
N 4.295 2.923 5.378
N 1.789 9.246 -0.707
N 1.253 8.420 0.119
N 2.923 6.791 1.789
N 6.203 4.832 3.749
N 2.923 5.378 4.295
N 0.119 1.253 8.420
N 1.253 3.749 5.965
N 1.789 2.923 6.791
N -1.789 3.161 6.791
N 4.832 3.749 6.203
N -0.707 7.874 2.923
N -2.336 5.965 4.832
N -0.707 1.789 9.246
N 3.749 6.203 4.832
N -3.161 6.791 4.295
N 0.119 7.337 3.749
```

Properties
Fermi-level density of states in states/eV per cell: 28.8
Calculated total energy in eV/cell: -547.10
Raw formation energy in eV per atom: 0.01

***

# 10
LiMn2N2: optimized geometry, PBE.

Cell and atoms, written as extended XYZ:
```
5
Lattice="-1.839 1.839 3.515 1.839 -1.839 3.515 1.839 1.839 -3.515" Properties=species:S:1:pos:R:3 pbc="T T T"
Li 0.000 0.000 0.000
Mn 0.000 0.000 2.431
Mn 0.000 0.000 4.599
N 1.839 0.000 1.757
N 0.000 1.839 1.757
```

Properties
Fermi-level density of states in states/eV per cell: 2.6
Calculated total energy in eV/cell: -37.12
Raw formation energy in eV per atom: -0.04

***

# 11
Li3MnN2: optimized geometry, PBE.

Cell and atoms, written as extended XYZ:
```
24
Lattice="-3.517 3.517 5.262 3.517 -3.517 5.262 3.517 3.517 -5.262" Properties=species:S:1:pos:R:3 pbc="T T T"
Li 3.517 1.758 -2.534
Li 1.840 0.081 1.316
Li 5.193 0.081 1.316
Li 0.000 1.758 0.097
Li 1.840 3.598 -1.316
Li 1.677 0.081 3.947
Li 1.840 3.435 1.316
Li 1.677 -0.081 6.578
Li 3.517 1.758 5.165
Li -1.677 3.435 3.947
Li 1.677 3.435 3.947
Li 0.000 1.758 7.796
Mn 3.517 1.758 0.163
Mn 3.517 1.758 2.468
Mn 0.000 1.758 2.794
Mn 0.000 1.758 5.100
N 1.995 1.758 -0.545
N 5.038 1.758 -0.545
N 0.000 0.237 2.086
N 3.517 0.237 3.176
N 0.000 3.280 2.086
N 3.517 3.280 3.176
N -1.522 1.758 5.808
N 1.522 1.758 5.808
```

Properties
Fermi-level density of states in states/eV per cell: 10.6
Calculated total energy in eV/cell: -134.36
Raw formation energy in eV per atom: -0.34
E above lowest polymorph in meV per atom: 171.1

***

# 12
Li3MnN2: optimized geometry, PBE.

Cell and atoms, written as extended XYZ:
```
12
Lattice="3.512 -3.158 0.000 3.512 3.158 0.000 0.000 0.000 5.822" Properties=species:S:1:pos:R:3 pbc="T T T"
Li 3.512 1.649 4.366
Li 2.097 0.000 0.000
Li 2.097 0.000 2.911
Li 4.927 0.000 0.000
Li 4.927 0.000 2.911
Li 3.512 -1.649 1.455
Mn 3.512 2.137 1.455
Mn 3.512 -2.137 4.366
N 0.000 0.000 0.000
N 0.000 0.000 2.911
N 3.512 0.453 1.455
N 3.512 -0.453 4.366
```

Properties
Fermi-level density of states in states/eV per cell: 2.8
Calculated total energy in eV/cell: -69.23
Raw formation energy in eV per atom: -0.51
E above lowest polymorph in meV per atom: 0.0

***

# 13
LiMn2N: optimized geometry, PBE.

Cell and atoms, written as extended XYZ:
```
8
Lattice="-3.195 3.195 1.973 3.195 -3.195 1.973 3.195 3.195 -1.973" Properties=species:S:1:pos:R:3 pbc="T T T"
Li 0.000 0.000 0.000
Li 0.000 3.195 0.987
Mn 1.597 -0.873 1.480
Mn 2.322 1.597 0.493
Mn 1.597 4.068 -0.493
Mn 0.873 1.597 2.467
N 3.195 0.000 0.987
N 0.000 0.000 1.973
```

Properties
Fermi-level density of states in states/eV per cell: 4.3
Calculated total energy in eV/cell: -56.93
Raw formation energy in eV per atom: 0.03

***

# 14
LiMn2N3: optimized geometry, PBE.

Cell and atoms, written as extended XYZ:
```
12
Lattice="5.030 0.000 0.000 0.000 2.847 0.000 -1.811 0.000 7.364" Properties=species:S:1:pos:R:3 pbc="T T T"
Li -0.478 0.712 2.503
Li 3.697 2.135 4.860
Mn -0.563 0.712 7.325
Mn 1.209 0.712 4.902
Mn 2.011 2.135 2.462
Mn 3.782 2.135 0.039
N 0.496 2.135 1.065
N 0.567 2.135 3.743
N 0.394 2.135 6.198
N 2.825 0.712 1.166
N 2.652 0.712 3.620
N 2.723 0.712 6.299
```

Properties
Fermi-level density of states in states/eV per cell: 5.9
Calculated total energy in eV/cell: -93.02
Raw formation energy in eV per atom: -0.21
E above lowest polymorph in meV per atom: 93.1

***

# 15
Li2Mn2N3: optimized geometry, PBE.

Cell and atoms, written as extended XYZ:
```
7
Lattice="4.634 -1.393 0.000 4.634 1.393 0.000 -1.192 0.000 5.252" Properties=species:S:1:pos:R:3 pbc="T T T"
Li 0.921 0.000 1.924
Li 7.155 0.000 3.328
Mn 3.258 0.000 0.322
Mn 4.818 0.000 4.930
N 0.000 0.000 0.000
N 1.101 0.000 3.944
N 6.975 0.000 1.308
```

Properties
Fermi-level density of states in states/eV per cell: 2.2
Calculated total energy in eV/cell: -49.84
Raw formation energy in eV per atom: -0.39